Entry 1:
# La6Tb2Ho

A relaxed structure of La6Tb2Ho (PBE-GGA, the Alexandria database).

Structure (POSCAR):
```
La6Tb2Ho
1.0
4.7579 -8.9669 0.0000
4.7579 8.9669 0.0000
0.0000 0.0000 3.7003
La Tb Ho
6 2 1
Direct
0.0062 0.3375 0.0000 La
0.1791 0.1791 0.5000 La
0.3375 0.0062 0.0000 La
0.6625 0.9938 0.0000 La
0.8209 0.8209 0.5000 La
0.9938 0.6625 0.0000 La
0.3281 0.6719 0.5000 Tb
0.6719 0.3281 0.5000 Tb
0.5000 0.5000 0.0000 Ho
```

Results
crystal system: orthorhombic
calculated density: 6.9 Mg/m³
ΔE_f: 1.06 eV/f.u.
total DFT energy (no corrections): -4.7051 eV per atom
Fermi-level density of states: 13.3 states/eV/f.u.



Entry 2:
# KSbTe2

A relaxed structure of KSbTe2 (PBE-GGA, the Alexandria database).

Structure (POSCAR):
```
KSbTe2
1.0
7.9724 0.0000 0.0000
0.0000 7.9724 0.0000
0.0000 0.0000 7.9724
K Sb Te
4 4 8
Direct
0.0000 0.0000 0.0000 K
0.0000 0.5000 0.5000 K
0.5000 0.0000 0.5000 K
0.5000 0.5000 0.0000 K
0.2500 0.2500 0.7500 Sb
0.2500 0.7500 0.2500 Sb
0.7500 0.2500 0.2500 Sb
0.7500 0.7500 0.7500 Sb
0.0000 0.0000 0.5000 Te
0.0000 0.5000 0.0000 Te
0.2500 0.2500 0.2500 Te
0.2500 0.7500 0.7500 Te
0.5000 0.0000 0.0000 Te
0.5000 0.5000 0.5000 Te
0.7500 0.2500 0.7500 Te
0.7500 0.7500 0.2500 Te
```

Results
crystal system: cubic
calculated density: 5.5 Mg/m³
uncorrected formation energy: 0.0685 eV/atom
total DFT energy (no corrections): -2.8073 eV per atom
Fermi-level density of states: 3.4 states/eV/f.u.



Entry 3:
# Ca2YAl2Pd5

A relaxed structure of Ca2YAl2Pd5 (PBE-GGA, the Alexandria database).

Structure (POSCAR):
```
Ca2YAl2Pd5
1.0
10.1399 0.0000 0.0000
0.0000 10.1399 0.0000
0.0000 0.0000 3.7798
Ca Y Al Pd
4 2 4 10
Direct
0.1767 0.3233 0.0000 Ca
0.3233 0.8233 0.0000 Ca
0.6767 0.1767 0.0000 Ca
0.8233 0.6767 0.0000 Ca
0.0000 0.0000 0.0000 Y
0.5000 0.5000 0.0000 Y
0.1184 0.6184 0.0000 Al
0.3816 0.1184 0.0000 Al
0.6184 0.8816 0.0000 Al
0.8816 0.3816 0.0000 Al
0.0000 0.5000 0.5000 Pd
0.0692 0.7819 0.5000 Pd
0.2181 0.0692 0.5000 Pd
0.2819 0.5692 0.5000 Pd
0.4308 0.2819 0.5000 Pd
0.5000 0.0000 0.5000 Pd
0.5692 0.7181 0.5000 Pd
0.7181 0.4308 0.5000 Pd
0.7819 0.9308 0.5000 Pd
0.9308 0.2181 0.5000 Pd
```

Results
crystal system: tetragonal
calculated density: 6.5 Mg/m³
ΔE_f: -7.96 eV/f.u.
total DFT energy (no corrections): -5.1873 eV per atom
Fermi-level density of states: 4.2 states/eV/f.u.



Entry 4:
# TlCdRu2

A relaxed structure of TlCdRu2 (PBE-GGA, the Alexandria database).

Structure (POSCAR):
```
TlCdRu2
1.0
3.0701 0.0000 0.0000
0.0000 4.3860 0.0000
-1.5341 0.0000 5.4686
Tl Cd Ru
1 1 2
Direct
0.0000 0.0000 0.0000 Tl
0.6515 0.5000 0.3037 Cd
0.2711 0.0000 0.5399 Ru
0.3697 0.5000 0.7452 Ru
```

Results
crystal system: monoclinic
calculated density: 11.7 Mg/m³
ΔE_f: 2.06 eV/f.u.
total DFT energy (no corrections): -4.9425 eV per atom
Fermi-level density of states: 3.9 states/eV/f.u.



Entry 5:
# BeTc2Hg

A relaxed structure of BeTc2Hg (PBE-GGA, the Alexandria database).

Structure (POSCAR):
```
BeTc2Hg
1.0
3.7180 0.0000 0.0000
0.0000 3.7180 0.0000
0.0000 0.0000 18.9032
Be Tc Hg
4 8 4
Direct
0.0000 0.0000 0.0000 Be
0.0000 0.5000 0.2500 Be
0.5000 0.0000 0.7500 Be
0.5000 0.5000 0.5000 Be
0.1940 0.2500 0.1250 Tc
0.2500 0.6940 0.3750 Tc
0.2500 0.8060 0.8750 Tc
0.3060 0.2500 0.6250 Tc
0.6940 0.7500 0.6250 Tc
0.7500 0.1940 0.8750 Tc
0.7500 0.3060 0.3750 Tc
0.8060 0.7500 0.1250 Tc
0.0000 0.0000 0.5000 Hg
0.0000 0.5000 0.7500 Hg
0.5000 0.0000 0.2500 Hg
0.5000 0.5000 0.0000 Hg
```

Results
crystal system: tetragonal
calculated density: 10.3 Mg/m³
ΔE_f: 2.75 eV/f.u.
energy above the most stable polymorph in this dataset: 0.5514 eV per atom
total DFT energy (no corrections): -5.5024 eV per atom
Fermi-level density of states: 2.9 states/eV/f.u.



Entry 6:
# InGaTeI2

A relaxed structure of InGaTeI2 (PBE-GGA, the Alexandria database).

Structure (POSCAR):
```
InGaTeI2
1.0
5.8163 0.0000 0.0000
0.0000 5.8163 0.0000
0.0000 0.0000 5.5388
In Ga Te I
1 1 1 2
Direct
0.0000 0.0000 0.0000 In
0.5000 0.5000 0.5000 Ga
0.5000 0.5000 0.0000 Te
0.0000 0.5000 0.5000 I
0.5000 0.0000 0.5000 I
```

Results
crystal system: tetragonal
calculated density: 5.0 Mg/m³
uncorrected formation energy: -0.1154 eV/atom
energy above the most stable polymorph in this dataset: 0.0000 eV per atom
total DFT energy (no corrections): -2.5169 eV per atom
Fermi-level density of states: 4.5 states/eV/f.u.



Entry 7:
# PmDy3Ga2

A relaxed structure of PmDy3Ga2 (PBE-GGA, the Alexandria database).

Structure (POSCAR):
```
PmDy3Ga2
1.0
4.9763 0.0000 0.0000
0.0000 9.5523 0.0000
0.0000 0.0000 6.6128
Pm Dy Ga
2 6 4
Direct
0.0000 0.0496 0.0000 Pm
0.0000 0.9504 0.5000 Pm
0.0000 0.3251 0.6331 Dy
0.0000 0.6749 0.1331 Dy
0.5000 0.1836 0.2907 Dy
0.5000 0.4470 0.9272 Dy
0.5000 0.5530 0.4272 Dy
0.5000 0.8164 0.7907 Dy
0.0000 0.3610 0.1720 Ga
0.0000 0.6390 0.6720 Ga
0.5000 0.1425 0.7499 Ga
0.5000 0.8575 0.2499 Ga
```

Results
crystal system: orthorhombic
calculated density: 8.2 Mg/m³
ΔE_f: -2.51 eV/f.u.
energy above the most stable polymorph in this dataset: 0.0000 eV per atom
total DFT energy (no corrections): -4.5193 eV per atom
Fermi-level density of states: 5.6 states/eV/f.u.



Entry 8:
# Sc2CdTe

A relaxed structure of Sc2CdTe (PBE-GGA, the Alexandria database).

Structure (POSCAR):
```
Sc2CdTe
1.0
7.1739 0.0000 0.0000
0.0000 7.1739 0.0000
0.0000 0.0000 7.1739
Sc Cd Te
8 4 4
Direct
0.2500 0.2500 0.2500 Sc
0.2500 0.2500 0.7500 Sc
0.2500 0.7500 0.2500 Sc
0.2500 0.7500 0.7500 Sc
0.7500 0.2500 0.2500 Sc
0.7500 0.2500 0.7500 Sc
0.7500 0.7500 0.2500 Sc
0.7500 0.7500 0.7500 Sc
0.0000 0.0000 0.0000 Cd
0.0000 0.5000 0.5000 Cd
0.5000 0.0000 0.5000 Cd
0.5000 0.5000 0.0000 Cd
0.0000 0.0000 0.5000 Te
0.0000 0.5000 0.0000 Te
0.5000 0.0000 0.0000 Te
0.5000 0.5000 0.5000 Te
```

Results
crystal system: cubic
calculated density: 5.9 Mg/m³
uncorrected formation energy: -0.4060 eV/atom
energy above the most stable polymorph in this dataset: 0.1719 eV per atom
total DFT energy (no corrections): -4.5860 eV per atom
Fermi-level density of states: 5.5 states/eV/f.u.



Entry 9:
# Cs2ZrIBr5

A relaxed structure of Cs2ZrIBr5 (PBE-GGA, the Alexandria database).

Structure (POSCAR):
```
Cs2ZrIBr5
1.0
-4.0306 4.0306 5.6716
4.0306 -4.0306 5.6716
4.0306 4.0306 -5.6716
Cs Zr I Br
2 1 1 5
Direct
0.0000 0.5000 0.5000 Cs
0.5000 0.0000 0.5000 Cs
0.2476 0.2476 0.0000 Zr
0.5044 0.5044 0.0000 I
0.0141 0.0141 0.0000 Br
0.0185 0.0185 0.5345 Br
0.0185 0.4840 0.0000 Br
0.4840 0.0185 0.0000 Br
0.4840 0.4840 0.4655 Br
```

Results
crystal system: tetragonal
calculated density: 4.0 Mg/m³
uncorrected formation energy: -1.5870 eV/atom
total DFT energy (no corrections): -3.8281 eV per atom
Fermi-level density of states: 0.0 states/eV/f.u.



Entry 10:
# Pr4InNi2

A relaxed structure of Pr4InNi2 (PBE-GGA, the Alexandria database).

Structure (POSCAR):
```
Pr4InNi2
1.0
2.4970 1.4416 9.0644
-2.4970 1.4416 9.0644
0.0000 -2.8833 9.0644
Pr In Ni
4 1 2
Direct
0.1134 0.1134 0.1134 Pr
0.2949 0.2949 0.2949 Pr
0.7051 0.7051 0.7051 Pr
0.8866 0.8866 0.8866 Pr
0.5000 0.5000 0.5000 In
0.4008 0.4008 0.4008 Ni
0.5992 0.5992 0.5992 Ni
```

Results
crystal system: trigonal
calculated density: 6.8 Mg/m³
ΔE_f: -1.12 eV/f.u.
total DFT energy (no corrections): -4.9346 eV per atom
Fermi-level density of states: 5.1 states/eV/f.u.



Entry 11:
# Mg14CdFe

A relaxed structure of Mg14CdFe (PBE-GGA, the Alexandria database).

Structure (POSCAR):
```
Mg14CdFe
1.0
10.1763 0.0000 0.0000
0.0000 3.1367 5.3833
0.0000 -3.1367 5.3833
Mg Cd Fe
14 1 1
Direct
0.0000 0.0000 0.0000 Mg
0.0000 0.4953 0.9989 Mg
0.0000 0.4990 0.4990 Mg
0.0000 0.9989 0.4953 Mg
0.2482 0.8304 0.8304 Mg
0.2576 0.3339 0.3339 Mg
0.2650 0.3345 0.8206 Mg
0.2650 0.8206 0.3345 Mg
0.5000 0.0030 0.5033 Mg
0.5000 0.5033 0.0030 Mg
0.7350 0.3345 0.8206 Mg
0.7350 0.8206 0.3345 Mg
0.7424 0.3339 0.3339 Mg
0.7518 0.8304 0.8304 Mg
0.5000 0.9977 0.9977 Cd
0.5000 0.4971 0.4971 Fe
```

Results
crystal system: orthorhombic
calculated density: 2.5 Mg/m³
ΔE_f: 0.81 eV/f.u.
energy above the most stable polymorph in this dataset: 0.0041 eV per atom
total DFT energy (no corrections): -1.9309 eV per atom
Fermi-level density of states: 7.3 states/eV/f.u.



Entry 12:
# Li8CdPd2

A relaxed structure of Li8CdPd2 (PBE-GGA, the Alexandria database).

Structure (POSCAR):
```
Li8CdPd2
1.0
3.7874 -5.7927 0.0000
3.7874 5.7927 0.0000
-1.4982 0.0000 4.5117
Li Cd Pd
8 1 2
Direct
0.0690 0.3242 0.5976 Li
0.2429 0.7571 0.0000 Li
0.3242 0.0690 0.5976 Li
0.3885 0.3885 0.1932 Li
0.6115 0.6115 0.8068 Li
0.6758 0.9310 0.4024 Li
0.7571 0.2429 0.0000 Li
0.9310 0.6758 0.4024 Li
0.0000 0.0000 0.0000 Cd
0.3176 0.6824 0.5000 Pd
0.6824 0.3176 0.5000 Pd
```

Results
crystal system: monoclinic
calculated density: 3.2 Mg/m³
ΔE_f: -1.93 eV/f.u.
energy above the most stable polymorph in this dataset: 0.0846 eV per atom
total DFT energy (no corrections): -2.5948 eV per atom
Fermi-level density of states: 4.3 states/eV/f.u.



Look up the calculated density of the tenth one. 6.8 Mg/m³